No. 1
The following is a meta-GGA SCAN calculation of a PBEsol-optimized structure of Li7Co5O12, from Alexandria.

Geometry as CIF:
```
data_Li7Co5O12
_chemical_formula_sum 'Li7 Co5 O12'
_cell_length_a 4.857
_cell_length_b 4.857
_cell_length_c 9.238
_cell_angle_alpha 94.64
_cell_angle_beta 94.64
_cell_angle_gamma 118.65
_space_group_name_H-M_alt 'P 1'
_space_group_IT_number 1
_space_group_name_Hall 'P 1'
loop_
_atom_site_label
_atom_site_type_symbol
_atom_site_fract_x
_atom_site_fract_y
_atom_site_fract_z
O1 O 0.301 0.454 0.621
O2 O 0.256 0.063 0.377
O3 O 0.325 0.839 0.877
O4 O 0.423 0.280 0.110
O5 O 0.761 0.935 0.116
O6 O 0.835 0.347 0.370
O7 O 0.161 0.675 0.123
O8 O 0.937 0.744 0.623
O9 O 0.546 0.699 0.379
O10 O 0.720 0.577 0.890
O11 O 0.653 0.165 0.630
O12 O 0.065 0.239 0.884
Li1 Li 0.743 0.257 0.000
Li2 Li 0.334 0.164 0.747
Li3 Li 0.170 0.336 0.257
Li4 Li 0.255 0.745 0.500
Li5 Li 0.664 0.830 0.743
Li6 Li 0.836 0.666 0.253
Li7 Li 0.923 0.077 0.500
Co1 Co 0.008 0.487 0.740
Co2 Co 0.415 0.585 0.000
Co3 Co 0.513 0.992 0.260
Co4 Co 0.075 0.925 0.000
Co5 Co 0.580 0.420 0.500
```

## Properties
Polymorph energy (0 for the lowest one)   227 kJ/mol of formula units
E_tot   -9.142 eV/atom
Formation energy (no corrections)   -41.390 eV per formula unit
Density of states at the Fermi level   5.21 states/eV/f.u.

No. 2
The following is a meta-GGA SCAN calculation of a PBEsol-optimized structure of Li5V3Bi2P6O24, from Alexandria.

Geometry as CIF:
```
data_Li5V3Bi2P6O24
_chemical_formula_sum 'Li5 V3 Bi2 P6 O24'
_cell_length_a 8.949
_cell_length_b 8.492
_cell_length_c 8.472
_cell_angle_alpha 120.53
_cell_angle_beta 90.81
_cell_angle_gamma 117.41
_space_group_name_H-M_alt 'P 1'
_space_group_IT_number 1
_space_group_name_Hall 'P 1'
loop_
_atom_site_label
_atom_site_type_symbol
_atom_site_fract_x
_atom_site_fract_y
_atom_site_fract_z
Bi1 Bi 0.481 0.043 0.527
Bi2 Bi 0.006 0.996 0.991
O1 O 0.217 0.853 0.609
O2 O 0.251 0.634 0.261
O3 O 0.942 0.419 0.310
O4 O 0.627 0.303 0.313
O5 O 0.117 0.235 0.533
O6 O 0.266 0.307 0.031
O7 O 0.568 0.622 0.365
O8 O 0.762 0.386 0.747
O9 O 0.080 0.380 0.896
O10 O 0.759 0.708 0.005
O11 O 0.275 0.244 0.296
O12 O 0.403 0.743 0.691
O13 O 0.086 0.597 0.710
O14 O 0.692 0.028 0.056
O15 O 0.751 0.777 0.701
O16 O 0.446 0.351 0.614
O17 O 0.594 0.342 0.969
O18 O 0.930 0.582 0.093
O19 O 0.323 0.986 0.956
O20 O 0.903 0.804 0.456
O21 O 0.758 0.020 0.617
O22 O 0.777 0.156 0.397
O23 O 0.219 0.971 0.370
O24 O 0.420 0.644 0.029
Li1 Li 0.505 0.657 0.830
Li2 Li 0.332 0.545 0.407
Li3 Li 0.653 0.001 0.828
Li4 Li 0.660 0.842 0.181
Li5 Li 0.686 0.486 0.600
P1 P 0.259 0.205 0.459
P2 P 0.760 0.229 0.264
P3 P 0.257 0.791 0.745
P4 P 0.761 0.510 0.963
P5 P 0.255 0.495 0.047
P6 P 0.751 0.802 0.529
V1 V 0.951 0.309 0.659
V2 V 0.056 0.695 0.345
V3 V 0.460 0.302 0.148
```

## Properties
E_tot   -13.204 eV/atom
Formation energy (no corrections)   -94.648 eV per formula unit
Density of states at the Fermi level   7.22 states/eV/f.u.

No. 3
The following is a meta-GGA SCAN calculation of a PBEsol-optimized structure of TlSiNi2, from Alexandria.

Geometry as CIF:
```
data_TlSiNi2
_chemical_formula_sum 'Tl1 Si1 Ni2'
_cell_length_a 4.262
_cell_length_b 4.262
_cell_length_c 4.262
_cell_angle_alpha 60.00
_cell_angle_beta 60.00
_cell_angle_gamma 60.00
_space_group_name_H-M_alt 'P 1'
_space_group_IT_number 1
_space_group_name_Hall 'P 1'
loop_
_atom_site_label
_atom_site_type_symbol
_atom_site_fract_x
_atom_site_fract_y
_atom_site_fract_z
Tl1 Tl 0.000 0.000 0.000
Ni1 Ni 0.750 0.750 0.750
Ni2 Ni 0.250 0.250 0.250
Si1 Si 0.500 0.500 0.500
```

## Properties
E_tot   -28.397 eV/atom
Formation energy (no corrections)   1.134 eV per formula unit
Density of states at the Fermi level   1.60 states/eV/f.u.

Question: The highest E_tot belongs to which entry?
Answer: Li7Co5O12